A plane-wave DFT calculation with meta-GGA SCAN was carried out for a crystal of CaAg2 relaxed with PBEsol.

Structure (extended XYZ):
```
6
Lattice="5.226 -2.314 0.000 5.226 2.314 0.000 -1.133 0.000 5.610" Properties=species:S:1:pos:R:3 pbc="T T T"
Ca 0.806 0.000 1.726
Ca 8.514 0.000 3.884
Ag 1.387 0.000 4.820
Ag 3.934 0.000 1.657
Ag 5.385 0.000 3.954
Ag 7.933 0.000 0.790
```

Computed properties:
* space group: C2/m, No. 12
* energy of formation: -0.2446 eV/atom

=====

A plane-wave DFT calculation with meta-GGA SCAN was carried out for a crystal of CaAg relaxed with PBEsol.

Structure (extended XYZ):
```
6
Lattice="5.506 -1.921 0.000 5.506 1.921 0.000 -2.971 0.000 7.411" Properties=species:S:1:pos:R:3 pbc="T T T"
Ca 0.000 0.000 0.000
Ca 4.916 0.000 5.200
Ca 7.939 0.000 2.584
Ag 3.106 0.000 0.079
Ag 1.806 0.000 5.057
Ag 4.846 0.000 2.261
```

Computed properties:
* space group: Cm, No. 8
* energy of formation: -0.2602 eV/atom

=====

A plane-wave DFT calculation with meta-GGA SCAN was carried out for a crystal of CaAg relaxed with PBEsol.

Structure (extended XYZ):
```
24
Lattice="10.391 0.000 0.000 0.000 9.156 0.000 0.000 0.000 6.318" Properties=species:S:1:pos:R:3 pbc="T T T"
Ca 1.207 2.289 0.000
Ca 1.207 2.289 3.159
Ca 2.013 5.752 1.580
Ca 2.013 7.983 4.739
Ca 3.951 0.274 1.580
Ca 3.951 4.304 4.739
Ca 6.440 4.852 1.580
Ca 6.440 8.882 4.739
Ca 8.378 1.173 1.580
Ca 8.378 3.405 4.739
Ca 9.184 6.867 0.000
Ca 9.184 6.867 3.159
Ag 0.799 5.009 4.739
Ag 0.799 8.725 1.580
Ag 3.725 1.299 4.739
Ag 3.725 3.279 1.580
Ag 4.541 6.867 0.000
Ag 4.541 6.867 3.159
Ag 5.850 2.289 0.000
Ag 5.850 2.289 3.159
Ag 6.666 5.877 4.739
Ag 6.666 7.857 1.580
Ag 9.592 0.431 4.739
Ag 9.592 4.147 1.580
```

Computed properties:
* space group: Pbcm, No. 57
* energy of formation: -0.2666 eV/atom

=====

A plane-wave DFT calculation with meta-GGA SCAN was carried out for a crystal of Ca2Ag relaxed with PBEsol.

Structure (extended XYZ):
```
9
Lattice="8.135 0.000 0.000 -4.067 7.045 0.000 0.000 0.000 4.579" Properties=species:S:1:pos:R:3 pbc="T T T"
Ca -1.660 2.875 0.000
Ca -3.022 5.235 2.289
Ca 1.045 1.810 2.289
Ca 3.320 0.000 0.000
Ca 2.407 4.170 0.000
Ca 6.045 0.000 2.289
Ag 0.000 0.000 0.000
Ag 0.000 4.697 2.289
Ag 4.067 2.348 2.289
```

Computed properties:
* space group: P-62m, No. 189
* energy of formation: -0.2587 eV/atom

=====

A plane-wave DFT calculation with meta-GGA SCAN was carried out for a crystal of CaAg3 relaxed with PBEsol.

Structure (extended XYZ):
```
4
Lattice="3.558 0.000 0.000 0.000 3.558 0.000 0.000 0.000 6.258" Properties=species:S:1:pos:R:3 pbc="T T T"
Ca 0.000 0.000 0.000
Ag 0.000 0.000 3.129
Ag 1.779 1.779 1.755
Ag 1.779 1.779 4.502
```

Computed properties:
* space group: P4/mmm, No. 123
* energy of formation: -0.1560 eV/atom

=====

A plane-wave DFT calculation with meta-GGA SCAN was carried out for a crystal of Ca2Ag relaxed with PBEsol.

Structure (extended XYZ):
```
6
Lattice="7.245 -1.971 0.000 7.245 1.971 0.000 -2.833 0.000 6.597" Properties=species:S:1:pos:R:3 pbc="T T T"
Ca -0.459 0.000 1.753
Ca 3.374 0.000 1.700
Ca 8.282 0.000 4.897
Ca 12.115 0.000 4.844
Ag 2.979 0.000 6.227
Ag 8.677 0.000 0.370
```

Computed properties:
* space group: C2/m, No. 12
* energy of formation: -0.2230 eV/atom